No. 1
Computed, not measured: a relaxed structure of Ba2Sb2I at the PBE-GGA level of DFT.

a = 6.5493 Å, b = 6.5493 Å, c = 7.0261 Å
α = 62.22°, β = 62.22°, γ = 90.00°
Last column: magnetic moment on the atom in μB.
Fractional positions:
I1 0.0000 0.0000 0.0000  0.00
Sb1 0.3694 0.3694 0.2611  0.15
Sb2 0.6306 0.6306 0.7389  0.15
Ba1 0.7500 0.2500 0.5000  0.06
Ba2 0.2500 0.7500 0.5000  0.06

Summary:
Formation energy (no corrections) (eV per atom): -0.91
Relative energy among the computed polymorphs (meV per atom): 201
Calculated density (g/cm3): 4.7
Symmetry: I4/mmm (139)
E_tot (eV/cell): -18.18

No. 2
Computed, not measured: a relaxed structure of Ba3SbI2 at the PBE-GGA level of DFT.

a = 8.7280 Å, b = 8.7280 Å, c = 15.9433 Å
α = 100.51°, β = 100.51°, γ = 109.47°
Fractional positions:
Ba1 0.1619 0.6828 0.8255
Ba2 0.6635 0.1427 0.8255
Ba3 0.0881 0.0672 0.6745
Ba4 0.5865 0.6073 0.6745
Ba5 0.0228 0.5228 0.5000
Ba6 0.4772 0.9772 0.5000
Ba7 0.3927 0.4135 0.3255
Ba8 0.9328 0.9119 0.3255
Ba9 0.8573 0.3365 0.1745
Ba10 0.3172 0.8381 0.1745
Ba11 0.2272 0.2272 0.0000
Ba12 0.7728 0.7728 0.0000
Sb1 0.9164 0.9164 0.8328
Sb2 0.3336 0.8336 0.6672
Sb3 0.1664 0.6664 0.3328
Sb4 0.0836 0.0836 0.1672
I1 0.9984 0.4984 0.9968
I2 0.4190 0.4190 0.8380
I3 0.8310 0.3310 0.6620
I4 0.2516 0.2516 0.5032
I5 0.7484 0.7484 0.4968
I6 0.6690 0.1690 0.3380
I7 0.5810 0.5810 0.1620
I8 0.5016 0.0016 0.0032

Summary:
Formation energy (no corrections) (eV per atom): -1.39
Relative energy among the computed polymorphs (meV per atom): 0
Calculated density (g/cm3): 4.8
Symmetry: Fddd (70)
E_tot (eV/cell): -85.38

No. 3
Computed, not measured: a relaxed structure of BaSb2I at the PBE-GGA level of DFT.

a = 5.8620 Å, b = 5.8620 Å, c = 5.8620 Å
α = 60.00°, β = 60.00°, γ = 60.00°
Fractional positions:
I1 0.0000 0.0000 0.0000
Sb1 0.2500 0.2500 0.2500
Sb2 0.7500 0.7500 0.7500
Ba1 0.5000 0.5000 0.5000

Summary:
Formation energy (no corrections) (eV per atom): -0.04
Calculated density (g/cm3): 5.9
Symmetry: Fm-3m (225)
E_tot (eV/cell): -11.89

No. 4
Computed, not measured: a relaxed structure of Ba2SbI at the PBE-GGA level of DFT.

a = 4.3085 Å, b = 4.3085 Å, c = 8.9041 Å
α = 90.00°, β = 90.00°, γ = 90.00°
Fractional positions:
I1 0.5000 0.5000 0.5000
Sb1 0.5000 0.5000 0.0000
Ba1 0.0000 0.0000 0.7889
Ba2 0.0000 0.0000 0.2111

Summary:
Formation energy (no corrections) (eV per atom): -1.25
Calculated density (g/cm3): 5.3
Symmetry: P4/mmm (123)
E_tot (eV/cell): -14.53

No. 5
Computed, not measured: a relaxed structure of Ba5SbI4 at the PBE-GGA level of DFT.

a = 7.0404 Å, b = 8.6638 Å, c = 8.6638 Å
α = 80.50°, β = 66.03°, γ = 66.03°
Fractional positions:
Ba1 0.9002 0.3852 0.8165
Ba2 0.2855 0.8165 0.6148
Ba3 0.7167 0.1835 0.3852
Ba4 0.1019 0.6148 0.1835
Ba5 0.5010 0.0000 0.0000
Sb1 0.0009 0.0000 0.0000
I1 0.4055 0.4011 0.7899
I2 0.8067 0.7899 0.5989
I3 0.1954 0.2101 0.4011
I4 0.5965 0.5989 0.2101

Summary:
Formation energy (no corrections) (eV per atom): -1.35
Calculated density (g/cm3): 5.0
Symmetry: I4/m (87)
E_tot (eV/cell): -33.40

No. 6
Computed, not measured: a relaxed structure of Ba6SbI5 at the PBE-GGA level of DFT.

a = 8.6297 Å, b = 8.6297 Å, c = 8.7073 Å
α = 99.45°, β = 99.45°, γ = 119.87°
Fractional positions:
I1 0.8296 0.1704 0.5000
I2 0.6657 0.3343 0.0000
I3 0.5000 0.5000 0.5000
I4 0.3343 0.6657 0.0000
I5 0.1704 0.8296 0.5000
Sb1 0.0000 0.0000 0.0000
Ba1 0.9220 0.6012 0.7644
Ba2 0.3988 0.0780 0.2356
Ba3 0.7605 0.7605 0.2406
Ba4 0.2395 0.2395 0.7594
Ba5 0.6012 0.9220 0.7644
Ba6 0.0780 0.3988 0.2356

Summary:
Formation energy (no corrections) (eV per atom): -1.34
Calculated density (g/cm3): 4.9
Symmetry: C2/m (12)
E_tot (eV/cell): -39.50

No. 7
Computed, not measured: a relaxed structure of Ba3SbI at the PBE-GGA level of DFT.

a = 6.6977 Å, b = 6.6977 Å, c = 6.6977 Å
α = 90.00°, β = 90.00°, γ = 90.00°
Fractional positions:
I1 0.5000 0.5000 0.5000
Sb1 0.0000 0.0000 0.0000
Ba1 0.0000 0.5000 0.0000
Ba2 0.0000 0.0000 0.5000
Ba3 0.5000 0.0000 0.0000

Summary:
Formation energy (no corrections) (eV per atom): -0.69
Relative energy among the computed polymorphs (meV per atom): 245
Calculated density (g/cm3): 3.7
Symmetry: Pm-3m (221)
E_tot (eV/cell): -14.89

No. 8
Computed, not measured: a relaxed structure of BaSb2I8 at the PBE-GGA level of DFT.

a = 8.7362 Å, b = 9.1444 Å, c = 9.1444 Å
α = 76.56°, β = 73.44°, γ = 73.44°
Fractional positions:
Ba1 0.0000 0.0000 0.0000
Sb1 0.6305 0.8362 0.8362
Sb2 0.3695 0.1638 0.1638
I1 0.2245 0.2868 0.8929
I2 0.7755 0.1071 0.7132
I3 0.3306 0.7744 0.7744
I4 0.6694 0.2256 0.2256
I5 0.2245 0.8929 0.2868
I6 0.7755 0.7132 0.1071
I7 0.8480 0.6408 0.6408
I8 0.1520 0.3592 0.3592

Summary:
Formation energy (no corrections) (eV per atom): -0.63
Calculated density (g/cm3): 3.5
Symmetry: C2/m (12)
E_tot (eV/cell): -29.50

No. 9
Computed, not measured: a relaxed structure of Ba8Sb3I4 at the PBE-GGA level of DFT.

a = 10.0678 Å, b = 10.0678 Å, c = 10.7776 Å
α = 62.16°, β = 62.16°, γ = 60.00°
Fractional positions:
Ba1 0.2315 0.2315 0.3054
Ba2 0.2212 0.7445 0.2898
Ba3 0.7445 0.7445 0.2898
Ba4 0.7445 0.2212 0.2898
Ba5 0.7685 0.7685 0.6946
Ba6 0.7788 0.2555 0.7102
Ba7 0.2555 0.2555 0.7102
Ba8 0.2555 0.7788 0.7102
Sb1 0.5000 0.0000 0.5000
Sb2 0.0000 0.0000 0.5000
Sb3 0.0000 0.5000 0.5000
I1 0.0000 0.0000 0.0000
I2 0.3571 0.3571 0.9286
I3 0.5000 0.5000 0.5000
I4 0.6429 0.6429 0.0714

Summary:
Formation energy (no corrections) (eV per atom): -1.19
Calculated density (g/cm3): 4.1
Symmetry: R-3m (166)
E_tot (eV/cell): -51.77

No. 10
Computed, not measured: a relaxed structure of Ba4SbI5 at the PBE-GGA level of DFT.

a = 5.1020 Å, b = 9.9522 Å, c = 12.8136 Å
α = 122.22°, β = 101.48°, γ = 90.00°
Fractional positions:
Ba1 0.6640 0.2112 0.3281
Ba2 0.9997 0.7594 0.9994
Ba3 0.3360 0.7888 0.6719
Ba4 0.0003 0.2406 0.0006
Sb1 0.5000 0.0000 0.0000
I1 0.1659 0.9799 0.3319
I2 0.1694 0.4678 0.3387
I3 0.8306 0.5322 0.6613
I4 0.5000 0.5000 0.0000
I5 0.8341 0.0201 0.6681

Summary:
Formation energy (no corrections) (eV per atom): -1.63
Calculated density (g/cm3): 4.1
Symmetry: C2/m (12)
E_tot (eV/cell): -35.89

No. 11
Computed, not measured: a relaxed structure of Ba2Sb2I at the PBE-GGA level of DFT.

a = 5.2034 Å, b = 4.7990 Å, c = 9.5742 Å
α = 90.00°, β = 105.77°, γ = 90.00°
Fractional positions:
Ba1 0.1473 0.5000 0.2946
Ba2 0.8527 0.5000 0.7054
Sb1 0.2899 0.0000 0.5797
Sb2 0.7101 0.0000 0.4203
I1 0.0000 0.0000 0.0000

Summary:
Formation energy (no corrections) (eV per atom): -1.11
Relative energy among the computed polymorphs (meV per atom): 0
Calculated density (g/cm3): 4.7
Symmetry: Cmmm (65)
E_tot (eV/cell): -19.18

No. 12
Computed, not measured: a relaxed structure of Ba3SbI at the PBE-GGA level of DFT.

a = 5.0180 Å, b = 10.1929 Å, c = 11.9489 Å
α = 107.42°, β = 90.01°, γ = 104.24°
Fractional positions:
Ba1 0.1743 0.3483 0.5644
Ba2 0.6332 0.2662 0.0630
Ba3 0.0193 0.0382 0.2430
Ba4 0.8257 0.6517 0.4356
Ba5 0.9807 0.9618 0.7570
Ba6 0.3668 0.7338 0.9370
Sb1 0.3585 0.7172 0.6452
Sb2 0.6415 0.2828 0.3548
I1 0.1734 0.3468 0.8616
I2 0.8266 0.6532 0.1384

Summary:
Formation energy (no corrections) (eV per atom): -0.93
Relative energy among the computed polymorphs (meV per atom): 0
Calculated density (g/cm3): 3.9
Symmetry: C2/m (12)
E_tot (eV/cell): -32.23